(1)
This record from the Open Quantum Materials Database describes an optimized crystal structure of Tl2GaHg. The functional is PBE.

abc: 5.3545 5.3545 5.3545
angles: 60.00 60.00 60.00
With the nearest neighbours (Å) after each atom.
Positions (direct):
Ga1 0.5000 0.5000 0.5000  4 Hg 3.28, 4 Tl 3.28
Hg1 0.2500 0.2500 0.2500  4 Ga 3.28, 4 Tl 3.28
Tl1 0.0000 0.0000 0.0000  4 Hg 3.28, 4 Tl 3.28
Tl2 0.7500 0.7500 0.7500  4 Tl 3.28, 4 Ga 3.28

As for the calculated total energy: -1.93 eV per atom.

***

(2)
This record from the Open Quantum Materials Database describes an optimized crystal structure of TmGaHg. The functional is PBE.

abc: 4.8327 4.8327 4.8327
angles: 60.00 60.00 60.00
With the nearest neighbours (Å) after each atom.
Positions (direct):
Ga1 0.2500 0.2500 0.2500  4 Tm 2.96
Hg1 0.7500 0.7500 0.7500  4 Tm 2.96
Tm1 0.0000 0.0000 0.0000  4 Hg 2.96, 4 Ga 2.96

As for the total magnetic moment: 0.01 Bohr magnetons per cell. As for the calculated total energy: -2.66 eV per atom.

***

- Which of these has the lowest calculated total energy?
  TmGaHg